No. 1
Below is a geometry-optimized MgTa2TlPd structure, with properties calculated at the PBE level.

Theoretical density   9.06 g/cm³
Space-group type   P4/mmm, No. 123
ΔE_f   1910.9 meV/atom
Uncorrected energy   -4.661 eV per atom

abc: 5.140 5.140 4.834
angles: 90.00 90.00 90.00
Atoms (fractional coordinates):
Mg 0.000 0.000 0.000
Ta 0.000 0.500 0.500
Ta 0.500 0.000 0.500
Tl 0.000 0.000 0.500
Pd 0.500 0.500 0.000

No. 2
Below is a geometry-optimized Li3Pa2S6 structure, with properties calculated at the PBE level.

Raw formation energy   -1.50 eV per atom
Theoretical density   4.51 g/cm³
Space-group type   C2/m, No. 12
Uncorrected energy   -6.002 eV per atom

abc: 6.857 6.857 6.540
angles: 100.61 100.61 119.58
Atoms (fractional coordinates):
Li 0.000 0.000 0.000
Li 0.340 0.660 0.000
Li 0.660 0.340 0.000
Pa 0.167 0.833 0.500
Pa 0.833 0.167 0.500
S 0.051 0.414 0.252
S 0.224 0.224 0.762
S 0.414 0.051 0.252
S 0.586 0.949 0.748
S 0.776 0.776 0.238
S 0.949 0.586 0.748

No. 3
Below is a geometry-optimized NaTl2NiAu structure, with properties calculated at the PBE level.

Theoretical density   8.86 g/cm³
Space-group type   P4/mmm, No. 123
ΔE_f   42.9 meV/atom
Uncorrected energy   -2.979 eV per atom

abc: 5.017 5.017 5.120
angles: 90.00 90.00 90.00
Atoms (fractional coordinates):
Na 0.000 0.000 0.000
Tl 0.000 0.500 0.500
Tl 0.500 0.000 0.500
Ni 0.500 0.500 0.500
Au 0.500 0.500 0.000